# Hf2BC, optimized geometry, DFT PBE-GGA
data_Hf2BC
_symmetry_space_group_name_H-M 'P 1'
_symmetry_Int_Tables_number 1
_symmetry_space_group_name_Hall 'P 1'
_cell_length_a 4.179
_cell_length_b 4.179
_cell_length_c 4.179
_cell_angle_alpha 60.00
_cell_angle_beta 60.00
_cell_angle_gamma 60.00
loop_
_atom_site_label
_atom_site_type_symbol
_atom_site_fract_x
_atom_site_fract_y
_atom_site_fract_z
_atom_site_occupancy
C1 C 0.500 0.500 0.500 1
B1 B 0.000 0.000 0.000 1
Hf1 Hf 0.250 0.250 0.250 1
Hf2 Hf 0.750 0.750 0.750 1
# - crystal system = cubic
# - ΔE_f (meV per atom) = 390
# - DFT total energy (eV/atom) = -8.562
# - N(E_F) (states/eV/f.u.) = 6.48
# - energy relative to the lowest polymorph listed for this composition (meV per atom) = 1237.4